{"formula": "Cu2IrBr", "functional": "GGA-PBE", "state": "relaxed", "raw_formation_energy_ev_per_atom": 0.527, "polymorph_energy_mev_per_atom": 129.3, "spacegroup": "Cmmm", "rho_g_cm3": 10.5, "vol_a3_per_atom": 15.8, "total_magnetization_mub_per_atom": 0.07, "lattice_angstrom": [[2.921, 0.015, 0.000], [-1.386, 2.572, 0.000], [0.000, 0.000, 8.401]], "species": ["Cu", "Br", "Ir", "Cu"], "fractional_positions": [[0.000, 0.000, 0.492], [0.500, 0.500, 0.750], [0.500, 0.500, 0.250], [0.000, 0.000, 0.008]]}